# 1
Entry from Alexandria: an optimized crystal structure of Cd8BiAu6 (PBE).

Cell and atoms, written as POSCAR:
```
Cd8BiAu6
1.0
6.881 0.006 3.056
1.989 6.587 3.056
0.007 0.006 7.529
Cd Bi Au
8 1 6
Cartesian
2.551 3.670 8.989 Cd
2.380 5.213 6.115 Cd
3.291 0.776 7.668 Cd
5.921 4.401 9.099 Cd
2.956 2.197 4.542 Cd
5.586 5.822 5.973 Cd
6.497 1.385 7.526 Cd
6.326 2.928 4.652 Cd
0.000 0.000 0.000 Bi
1.206 2.674 6.755 Au
3.879 6.214 8.247 Au
4.677 1.923 9.803 Au
4.200 4.676 3.838 Au
4.998 0.384 5.394 Au
7.671 3.925 6.886 Au
```

Results
For the formation energy from the elements, the calculation gives -2.14 eV/f.u.

***

# 2
Entry from Alexandria: an optimized crystal structure of Cd2BiAu2 (PBE).

Cell and atoms, written as POSCAR:
```
Cd2BiAu2
1.0
4.747 0.000 0.000
0.000 5.568 -1.336
0.000 -2.244 9.566
Cd Bi Au
4 2 4
Cartesian
1.187 2.370 7.645 Cd
3.560 0.954 0.586 Cd
1.187 0.785 4.432 Cd
3.560 2.539 3.798 Cd
1.187 3.416 1.745 Bi
3.560 -0.092 6.485 Bi
1.187 3.581 5.054 Au
3.560 -0.257 3.176 Au
1.187 -0.358 8.759 Au
3.560 3.683 -0.528 Au
```

Results
Its offset from the most stable computed form is 19 meV/atom. For the formation energy from the elements, the calculation gives -0.39 eV/f.u.

***

# 3
Entry from Alexandria: an optimized crystal structure of CdBiAu3 (PBE).

Cell and atoms, written as POSCAR:
```
CdBiAu3
1.0
-0.336 -4.157 3.480
4.256 1.957 2.749
-3.357 2.897 3.136
Au Bi Cd
3 1 1
Cartesian
2.128 0.978 1.374 Au
-1.679 1.449 1.568 Au
-0.168 -2.078 1.740 Au
0.000 0.000 0.000 Bi
0.281 0.349 4.682 Cd
```

Results
Its offset from the most stable computed form is 534 meV/atom. For the formation energy from the elements, the calculation gives 2.48 eV/f.u.